Below is a relaxed Cd2WI crystal, with properties calculated at the PBE-GGA level.

Calculated values
E_tot (eV/cell): -47.44
Space-group type: No. 122
Raw formation energy (eV/atom): 1.1181

Cell and atoms, written as POSCAR:
```
Cd2WI
1.0
8.562 0.000 0.000
0.000 8.562 0.000
0.000 0.000 5.900
Cd W I
8 4 4
Cartesian
1.816 6.422 0.737
2.141 1.816 5.162
2.141 2.465 2.212
2.465 6.422 3.687
6.098 2.141 3.687
6.422 6.098 2.212
6.422 6.746 5.162
6.746 2.141 0.737
0.000 0.000 0.000
0.000 4.281 1.475
4.281 0.000 4.425
4.281 4.281 2.950
0.000 0.000 2.950
0.000 4.281 4.425
4.281 0.000 1.475
4.281 4.281 0.000
```


Below is a relaxed SmDy2TmTe5 crystal, with properties calculated at the PBE-GGA level.

Calculated values
E_tot (eV/cell): -40.30
Space-group type: No. 123
Raw formation energy (eV/atom): -0.6884

Cell and atoms, written as POSCAR:
```
SmDy2TmTe5
1.0
5.488 0.000 0.000
0.000 5.488 0.000
0.000 0.000 11.652
Sm Dy Tm Te
1 2 1 5
Cartesian
0.000 0.000 0.000
2.744 2.744 4.088
2.744 2.744 7.564
0.000 0.000 5.826
0.000 0.000 2.913
0.000 0.000 8.739
0.000 2.744 5.826
2.744 0.000 5.826
2.744 2.744 0.000
```


Below is a relaxed PHCl crystal, with properties calculated at the PBE-GGA level.

Calculated values
E_tot (eV/cell): -22.87
Space-group type: No. 6

Cell and atoms, written as POSCAR:
```
PHCl
1.0
5.908 0.000 0.000
0.000 3.404 0.000
-1.981 0.000 7.209
P H Cl
2 2 2
Cartesian
0.000 0.000 0.000
1.441 1.702 0.310
1.462 1.702 1.739
2.501 0.000 5.246
1.594 0.000 4.303
4.657 0.000 1.652
```


Below is a relaxed MgNb2V crystal, with properties calculated at the PBE-GGA level.

Calculated values
E_tot (eV/cell): -111.67
Space-group type: No. 122

Cell and atoms, written as POSCAR:
```
MgNb2V
1.0
3.901 0.000 0.000
0.000 3.901 0.000
0.000 0.000 19.725
Mg Nb V
4 8 4
Cartesian
0.000 0.000 0.000
0.000 1.951 4.931
1.951 0.000 14.794
1.951 1.951 9.862
0.923 0.975 12.328
0.975 2.874 17.259
0.975 2.978 7.397
1.027 0.975 2.466
2.874 2.926 2.466
2.926 0.923 7.397
2.926 1.027 17.259
2.978 2.926 12.328
0.000 0.000 9.862
0.000 1.951 14.794
1.951 0.000 4.931
1.951 1.951 0.000
```


Below is a relaxed LaEr2Ge crystal, with properties calculated at the PBE-GGA level.

Calculated values
E_tot (eV/cell): -58.92
Space-group type: No. 166

Cell and atoms, written as POSCAR:
```
LaEr2Ge
1.0
3.732 0.000 0.000
-1.866 3.232 0.000
0.000 0.000 29.658
La Er Ge
3 6 3
Cartesian
0.000 0.000 0.000
0.000 2.155 19.772
1.866 1.077 9.886
0.000 0.000 6.839
0.000 0.000 22.819
0.000 2.155 12.933
0.000 2.155 26.612
1.866 1.077 3.047
1.866 1.077 16.726
0.000 0.000 14.829
0.000 2.155 4.943
1.866 1.077 24.715
```


Below is a relaxed NaLaPr2Se4 crystal, with properties calculated at the PBE-GGA level.

Calculated values
E_tot (eV/cell): -44.21
Space-group type: No. 10
Raw formation energy (eV/atom): -1.8088

Cell and atoms, written as POSCAR:
```
NaLaPr2Se4
1.0
7.367 0.000 0.000
0.000 4.267 0.000
-2.462 0.000 7.060
Na La Pr Se
1 1 2 4
Cartesian
0.000 0.000 0.000
3.683 2.133 0.000
-1.231 2.133 3.530
2.453 0.000 3.530
-0.027 0.000 5.300
1.225 2.133 1.773
3.680 2.133 5.287
4.932 0.000 1.760
```


Question: Among the records above, which one has the lowest E_tot?
Answer: MgNb2V